Here is an optimized crystal structure of CeAlGa from Alexandria. Energies are from PBE-GGA.

Summary:
Fermi-level density of states in states/eV/atom: 1.8731
Magnetic moment in μB per formula unit: 0.60
Calculated formation energy in eV per atom: -0.4934
Final energy in eV per atom: -4.73

Lattice parameters (Å, degrees): 4.3243 4.3243 4.1843 90.00 90.00 120.00
Space group P-6m2 (No. 187)
Unique sites:
Ce: 0.0000 0.0000 0.0000 x1
Al: 0.3333 0.6667 0.5000 x1
Ga: 0.6667 0.3333 0.5000 x1

---

Here is an optimized crystal structure of Sr2LiInCo from Alexandria. Energies are from PBE-GGA.

Summary:
Fermi-level density of states in states/eV/atom: 0.8761
Magnetic moment in μB per formula unit: 2.10
Calculated formation energy in eV per atom: 0.6097
Final energy in eV per atom: -2.41

Lattice parameters (Å, degrees): 6.304 6.304 4.972 90.00 90.00 90.00
Space group P4/mmm (No. 123)
Unique sites:
Sr: 0.000 0.500 0.000 x2
Li: 0.000 0.000 0.500 x1
In: 0.000 0.000 0.000 x1
Co: 0.500 0.500 0.500 x1

---

Here is an optimized crystal structure of TaFeSi from Alexandria. Energies are from PBE-GGA.

Summary:
Fermi-level density of states in states/eV/atom: 0.6994
Magnetic moment in μB per formula unit: 0.75
Uncorrected formation energy in eV/atom: -0.569
Final energy in eV per atom: -9.15

Lattice parameters (Å, degrees): 3.604 9.142 4.921 90.00 90.00 90.00
Space group Cmcm (No. 63)
Unique sites:
Ta: 0.000 0.210 0.250 x4
Fe: 0.000 0.500 0.000 x4
Si: 0.000 0.084 0.750 x4

---

Here is an optimized crystal structure of PrNi2GeN from Alexandria. Energies are from PBE-GGA.

Summary:
Fermi-level density of states in states/eV/atom: 0.5107
Magnetic moment in μB per formula unit: 0.00
Uncorrected formation energy in eV/atom: -0.685
Final energy in eV per atom: -6.54

Lattice parameters (Å, degrees): 3.644 11.359 7.033 90.00 90.00 90.00
Space group Cmcm (No. 63)
Unique sites:
Pr: 0.000 0.036 0.250 x4
Ni: 0.000 0.335 0.051 x8
Ge: 0.000 0.233 0.750 x4
N: 0.000 0.500 0.000 x4

---

Here is an optimized crystal structure of YTm2In2Hg2 from Alexandria. Energies are from PBE-GGA.

Summary:
Fermi-level density of states in states/eV/atom: 0.6055
Magnetic moment in μB per formula unit: 0.00
Calculated formation energy in eV per atom: -0.2554
Final energy in eV per atom: -3.33

Lattice parameters (Å, degrees): 4.9284 4.9284 26.2216 90.00 90.00 120.00
Space group R-3m (No. 166, hexagonal axes)
Unique sites:
Y: 0.0000 0.0000 0.0000 x3
Tm: 0.0000 0.0000 0.1321 x6
In: 0.0000 0.0000 0.2681 x6
Hg: 0.0000 0.0000 0.4309 x6

---

Here is an optimized crystal structure of YEr3Sc2 from Alexandria. Energies are from PBE-GGA.

Summary:
Energy above the most stable polymorph in this dataset in eV/atom: 0.000
Fermi-level density of states in states/eV/atom: 1.8537
Magnetic moment in μB per formula unit: 0.01
Calculated formation energy in eV per atom: 0.1504
Final energy in eV per atom: -5.32

Lattice parameters (Å, degrees): 22.437 3.372 9.837 90.00 107.93 90.00
Space group C2/m (No. 12)
Unique sites:
Y: 0.184 0.000 0.043 x4
Er: 0.060 0.000 0.435 x4
Er: 0.069 0.500 0.769 x4
Er: 0.197 0.000 0.708 x4
Sc: 0.070 0.500 0.140 x4
Sc: 0.192 0.000 0.374 x4

---

Here is an optimized crystal structure of Zn2FeOs from Alexandria. Energies are from PBE-GGA.

Summary:
Energy above the most stable polymorph in this dataset in eV/atom: 0.133
Fermi-level density of states in states/eV/atom: 0.8997
Magnetic moment in μB per formula unit: 2.89
Calculated formation energy in eV per atom: 0.1945
Final energy in eV per atom: -5.37

Lattice parameters (Å, degrees): 3.919 3.919 7.025 90.00 90.00 90.00
Space group I-4m2 (No. 119)
Unique sites:
Zn: 0.000 0.000 0.000 x2
Zn: 0.000 0.500 0.250 x2
Fe: 0.000 0.500 0.750 x2
Os: 0.000 0.000 0.500 x2

---

Here is an optimized crystal structure of NpTlVBr6 from Alexandria. Energies are from PBE-GGA.

Summary:
Fermi-level density of states in states/eV/atom: 0.6435
Magnetic moment in μB per formula unit: 7.00
Uncorrected formation energy in eV/atom: -1.045
Final energy in eV per atom: -4.87

Lattice parameters (Å, degrees): 7.0738 7.0738 15.0521 90.00 90.00 120.00
Space group P-31c (No. 163)
Unique sites:
Np: 0.3333 0.6667 0.2500 x2
Tl: 0.0000 0.0000 0.0000 x2
V: 0.3333 0.6667 0.7500 x2
Br: 0.0268 0.3756 0.6435 x12

---

Here is an optimized crystal structure of PmTeClO4 from Alexandria. Energies are from PBE-GGA.

Summary:
Fermi-level density of states in states/eV/atom: 0.0000
Magnetic moment in μB per formula unit: 0.00
Uncorrected formation energy in eV/atom: -1.762
Final energy in eV per atom: -5.99

Lattice parameters (Å, degrees): 10.556 7.472 7.116 90.00 106.20 90.00
Space group C2/m (No. 12)
Unique sites:
Pm: 0.222 0.000 0.119 x4
Te: 0.138 0.500 0.271 x4
Cl: 0.013 0.000 0.772 x4
O: 0.041 0.500 0.784 x4
O: 0.199 0.317 0.143 x8
O: 0.219 0.500 0.533 x4

---

Here is an optimized crystal structure of Ce3Ag4Au4 from Alexandria. Energies are from PBE-GGA.

Summary:
Energy above the most stable polymorph in this dataset in eV/atom: 0.000
Fermi-level density of states in states/eV/atom: 1.8366
Magnetic moment in μB per formula unit: 3.41
Calculated formation energy in eV per atom: -0.3836
Final energy in eV per atom: -4.23

Lattice parameters (Å, degrees): 3.291 4.790 30.518 90.00 90.00 90.00
Space group Immm (No. 71)
Unique sites:
Ce: 0.000 0.000 0.000 x2
Ce: 0.000 0.500 0.140 x4
Ag: 0.000 0.000 0.262 x4
Ag: 0.000 0.500 0.407 x4
Au: 0.000 0.000 0.453 x4
Au: 0.000 0.500 0.316 x4

---

Here is an optimized crystal structure of ThTlPd from Alexandria. Energies are from PBE-GGA.

Summary:
Fermi-level density of states in states/eV/atom: 0.7202
Magnetic moment in μB per formula unit: 0.00
Calculated formation energy in eV per atom: -0.5373
Final energy in eV per atom: -5.53

Lattice parameters (Å, degrees): 14.040 3.919 7.985 90.00 90.00 90.00
Space group Pmma (No. 51)
Unique sites:
Th: 0.050 0.000 0.228 x4
Th: 0.250 0.000 0.840 x2
Tl: 0.115 0.500 0.566 x4
Tl: 0.250 0.500 0.181 x2
Pd: 0.093 0.500 0.933 x4
Pd: 0.250 0.000 0.447 x2

---

Here is an optimized crystal structure of Na5Cd2Pb4 from Alexandria. Energies are from PBE-GGA.

Summary:
Energy above the most stable polymorph in this dataset in eV/atom: 0.000
Fermi-level density of states in states/eV/atom: 0.2707
Magnetic moment in μB per formula unit: 0.00
Calculated formation energy in eV per atom: -0.1040
Final energy in eV per atom: -2.22

Lattice parameters (Å, degrees): 7.404 17.392 4.999 90.00 90.00 90.00
Space group Pbam (No. 55)
Unique sites:
Na: 0.000 0.000 0.000 x2
Na: 0.099 0.413 0.000 x4
Na: 0.182 0.195 0.000 x4
Cd: 0.002 0.701 0.500 x4
Pb: 0.108 0.868 0.500 x4
Pb: 0.210 0.546 0.500 x4

---

Here is an optimized crystal structure of LiCeNp2Te4 from Alexandria. Energies are from PBE-GGA.

Summary:
Fermi-level density of states in states/eV/atom: 3.1976
Magnetic moment in μB per formula unit: 10.43
Uncorrected formation energy in eV/atom: -0.895
Final energy in eV per atom: -6.68

Lattice parameters (Å, degrees): 7.621 4.408 7.665 90.00 109.48 90.00
Space group P2/m (No. 10)
Unique sites:
Li: 0.000 0.000 0.000 x1
Ce: 0.500 0.500 0.000 x1
Np: 0.000 0.500 0.500 x1
Np: 0.500 0.000 0.500 x1
Te: 0.241 0.000 0.749 x2
Te: 0.241 0.500 0.245 x2

---

Here is an optimized crystal structure of HfMgIr3 from Alexandria. Energies are from PBE-GGA.

Summary:
Energy above the most stable polymorph in this dataset in eV/atom: 0.330
Fermi-level density of states in states/eV/atom: 1.2535
Magnetic moment in μB per formula unit: 0.00
Calculated formation energy in eV per atom: 1.0488
Final energy in eV per atom: -6.58

Lattice parameters (Å, degrees): 4.835 4.835 4.835 90.00 90.00 90.00
Space group Pm-3m (No. 221)
Unique sites:
Hf: 0.000 0.000 0.000 x1
Mg: 0.500 0.500 0.500 x1
Ir: 0.000 0.000 0.500 x3

---

Here is an optimized crystal structure of Ac3In3Si from Alexandria. Energies are from PBE-GGA.

Summary:
Fermi-level density of states in states/eV/atom: 0.7333
Magnetic moment in μB per formula unit: 0.00
Uncorrected formation energy in eV/atom: -0.423
Final energy in eV per atom: -4.13

Lattice parameters (Å, degrees): 12.385 4.709 16.073 90.00 107.16 90.00
Space group C2/m (No. 12)
Unique sites:
Ac: 0.004 0.000 0.386 x4
Ac: 0.115 0.000 0.923 x4
Ac: 0.229 0.000 0.237 x4
In: 0.008 0.500 0.232 x4
In: 0.103 0.500 0.079 x4
In: 0.168 0.500 0.539 x4
Si: 0.210 0.500 0.374 x4

---

Here is an optimized crystal structure of Ba2MgH6Ru from Alexandria. Energies are from PBE-GGA.

Summary:
Fermi-level density of states in states/eV/atom: 0.3815
Magnetic moment in μB per formula unit: 0.00
Final energy in eV per atom: -3.85

Lattice parameters (Å, degrees): 5.8758 5.8758 5.0861 90.00 90.00 120.00
Space group P-3m1 (No. 164)
Unique sites:
Ba: 0.3333 0.6667 0.2968 x2
Mg: 0.0000 0.0000 0.0000 x1
H: 0.1431 0.2862 0.7042 x6
Ru: 0.0000 0.0000 0.5000 x1

---

Here is an optimized crystal structure of LiReSe from Alexandria. Energies are from PBE-GGA.

Summary:
Energy above the most stable polymorph in this dataset in eV/atom: 0.188
Fermi-level density of states in states/eV/atom: 0.6896
Magnetic moment in μB per formula unit: 0.00
Uncorrected formation energy in eV/atom: 0.279
Final energy in eV per atom: -5.67

Lattice parameters (Å, degrees): 4.1996 4.1996 3.0683 90.00 90.00 120.00
Space group P-6m2 (No. 187)
Unique sites:
Li: 0.0000 0.0000 0.0000 x1
Re: 0.3333 0.6667 0.5000 x1
Se: 0.6667 0.3333 0.5000 x1

---

Here is an optimized crystal structure of Tb2TmTh3 from Alexandria. Energies are from PBE-GGA.

Summary:
Energy above the most stable polymorph in this dataset in eV/atom: 0.000
Fermi-level density of states in states/eV/atom: 1.3790
Magnetic moment in μB per formula unit: 0.00
Calculated formation energy in eV per atom: 0.0305
Final energy in eV per atom: -5.97

Lattice parameters (Å, degrees): 10.035 3.570 10.668 90.00 90.57 90.00
Space group P2_1/m (No. 11)
Unique sites:
Tb: 0.129 0.250 0.417 x2
Tb: 0.368 0.750 0.913 x2
Tm: 0.376 0.750 0.252 x2
Th: 0.122 0.250 0.083 x2
Th: 0.125 0.250 0.751 x2
Th: 0.378 0.750 0.585 x2

---

Here is an optimized crystal structure of DyHPt from Alexandria. Energies are from PBE-GGA.

Summary:
Energy above the most stable polymorph in this dataset in eV/atom: 0.187
Fermi-level density of states in states/eV/atom: 0.2825
Magnetic moment in μB per formula unit: 0.00
Final energy in eV per atom: -5.36

Lattice parameters (Å, degrees): 10.450 17.069 10.424 90.00 118.12 90.00
Space group Cm (No. 8)
Unique sites:
Dy: 0.000 0.000 0.000 x2
Dy: 0.002 0.292 0.985 x4
Dy: 0.115 0.126 0.812 x4
Dy: 0.147 0.254 0.361 x4
Dy: 0.177 0.396 0.603 x4
Dy: 0.219 0.000 0.405 x2
Dy: 0.336 0.123 0.214 x4
Dy: 0.357 0.384 0.206 x4
Dy: 0.427 0.500 0.518 x2
Dy: 0.441 0.000 0.997 x2
H: 0.072 0.376 0.339 x4
H: 0.184 0.064 0.012 x4
H: 0.209 0.274 0.187 x4
H: 0.213 0.000 0.197 x2
H: 0.221 0.500 0.513 x2
H: 0.305 0.500 0.278 x2
H: 0.359 0.122 0.005 x4
H: 0.424 0.000 0.202 x2
H: 0.430 0.237 0.169 x4
H: 0.472 0.500 0.762 x2
H: 0.479 0.500 0.202 x2
Pt: 0.086 0.291 0.762 x4
Pt: 0.118 0.121 0.502 x4
Pt: 0.140 0.421 0.928 x4
Pt: 0.242 0.000 0.711 x2
Pt: 0.292 0.238 0.690 x4
Pt: 0.376 0.351 0.923 x4
Pt: 0.379 0.147 0.498 x4
Pt: 0.408 0.319 0.538 x4
Pt: 0.499 0.000 0.666 x2

---

Here is an optimized crystal structure of Ba2TcMoI from Alexandria. Energies are from PBE-GGA.

Summary:
Fermi-level density of states in states/eV/atom: 1.3573
Magnetic moment in μB per formula unit: 1.63
Uncorrected formation energy in eV/atom: 0.413
Final energy in eV per atom: -4.91

Lattice parameters (Å, degrees): 6.410 6.410 4.536 90.00 90.00 90.00
Space group P4/mmm (No. 123)
Unique sites:
Ba: 0.000 0.500 0.000 x2
Tc: 0.000 0.000 0.500 x1
Mo: 0.000 0.000 0.000 x1
I: 0.500 0.500 0.500 x1